1.
A plane-wave DFT calculation with SCAN was carried out for a crystal of Mg14MnCoO16 relaxed with PBEsol.

## Properties
Density: 3.90 g/cm3
Calculated volume: 9.437 Å³/atom
Formation energy without anion corrections: -2.816 eV/atom
N(E_F): 3.1 states/eV/f.u.
Space-group type: P4/mmm
VASP energy: -0.33878 hartree per atom

Geometry as POSCAR:
```
Mg14MnCoO16
1.0
4.201 0.000 0.000
0.000 8.478 0.000
0.000 0.000 8.478
Mg Mn Co O
14 1 1 16
Cartesian
0.000 4.239 0.000
0.000 0.000 4.239
2.101 2.145 0.000
2.101 6.333 0.000
2.101 2.135 4.239
2.101 6.343 4.239
2.101 0.000 2.145
2.101 4.239 2.135
2.101 0.000 6.333
2.101 4.239 6.343
0.000 2.144 2.144
0.000 6.334 2.144
0.000 2.144 6.334
0.000 6.334 6.334
0.000 0.000 0.000
0.000 4.239 4.239
0.000 0.000 2.140
0.000 4.239 2.076
0.000 0.000 6.338
0.000 4.239 6.402
2.101 2.118 2.118
2.101 6.360 2.118
2.101 2.118 6.360
2.101 6.360 6.360
2.101 0.000 0.000
2.101 4.239 0.000
2.101 0.000 4.239
2.101 4.239 4.239
0.000 2.140 0.000
0.000 6.338 0.000
0.000 2.076 4.239
0.000 6.402 4.239
```

=====

2.
A plane-wave DFT calculation with SCAN was carried out for a crystal of MgCo4Mo relaxed with PBEsol.

## Properties
Density: 8.40 g/cm3
Calculated volume: 11.733 Å³/atom
N(E_F): 7.2 states/eV/f.u.
Space-group type: F-43m
VASP energy: -0.65923 hartree per atom
Formation energy: 0.241 eV per atom

Geometry as POSCAR:
```
MgCo4Mo
1.0
4.635 0.000 0.000
2.317 4.014 0.000
2.317 1.338 3.784
Co Mg Mo
4 1 1
Cartesian
4.635 2.676 0.480
3.482 3.342 2.363
4.635 1.344 2.363
5.788 3.342 2.363
2.317 1.338 0.946
0.000 0.000 0.000
```

=====

3.
A plane-wave DFT calculation with SCAN was carried out for a crystal of Mg2CoN2 relaxed with PBEsol.

## Properties
Density: 3.93 g/cm3
Calculated volume: 11.453 Å³/atom
Formation energy without anion corrections: -0.541 eV/atom
N(E_F): 0.6 states/eV/f.u.
Space-group type: C2/m
VASP energy: -0.35677 hartree per atom

Geometry as POSCAR:
```
Mg2CoN2
1.0
4.261 0.000 0.000
2.131 4.981 -0.005
2.131 1.966 5.393
Mg Co N
4 2 4
Cartesian
4.261 1.973 2.196
4.261 4.974 3.193
2.131 3.910 1.344
6.392 3.037 4.044
2.131 0.895 0.662
6.392 6.052 4.726
2.131 1.985 2.135
6.392 4.962 3.253
4.261 2.869 4.261
4.261 4.078 1.128
```

=====

4.
A plane-wave DFT calculation with SCAN was carried out for a crystal of MgCoSe2N relaxed with PBEsol.

## Properties
Density: 5.19 g/cm3
Calculated volume: 16.313 Å³/atom
Formation energy without anion corrections: -0.029 eV/atom
N(E_F): 1.4 states/eV/f.u.
Space-group type: P4/mmm
VASP energy: -0.52826 hartree per atom

Geometry as POSCAR:
```
MgCoSe2N
1.0
-2.059 -1.493 -2.188
-0.314 -3.922 2.972
-3.881 2.029 2.267
Mg Co Se N
1 1 2 1
Cartesian
-3.127 -1.693 1.526
0.000 0.000 0.000
-1.940 1.014 1.134
-0.157 -1.961 1.486
-1.029 -0.746 -1.094
```

=====

5.
A plane-wave DFT calculation with SCAN was carried out for a crystal of NaMg2Co relaxed with PBEsol.

## Properties
Density: 2.58 g/cm3
Calculated volume: 21.007 Å³/atom
N(E_F): 1.8 states/eV/f.u.
Space-group type: I-42d
VASP energy: -0.26681 hartree per atom
Formation energy: 0.606 eV per atom

Geometry as POSCAR:
```
NaMg2Co
1.0
4.228 0.000 0.000
0.000 4.228 0.000
-2.114 -2.114 9.400
Na Mg Co
2 4 2
Cartesian
2.114 0.000 4.700
2.114 2.114 0.000
0.918 3.171 2.350
3.310 1.057 2.350
-1.057 -1.196 7.050
1.057 1.196 7.050
0.000 2.114 4.700
0.000 0.000 0.000
```

=====

6.
A plane-wave DFT calculation with SCAN was carried out for a crystal of MgNb2Co2 relaxed with PBEsol.

## Properties
Density: 7.38 g/cm3
Calculated volume: 14.766 Å³/atom
N(E_F): 2.1 states/eV/f.u.
Space-group type: P4/mbm
VASP energy: -0.77870 hartree per atom
Formation energy: -0.021 eV per atom

Geometry as POSCAR:
```
MgNb2Co2
1.0
-0.460 -0.369 2.923
1.889 -6.756 -0.557
6.691 1.766 1.276
Nb Co Mg
4 4 2
Cartesian
4.555 -0.139 2.220
6.601 -3.226 2.151
3.566 -5.220 1.422
1.520 -2.133 1.490
6.541 -0.975 0.906
5.848 -4.785 0.315
2.040 -4.014 -0.187
2.733 -0.204 0.404
0.000 0.000 0.000
4.290 -2.495 0.359
```

=====

7.
A plane-wave DFT calculation with SCAN was carried out for a crystal of MgCoNi relaxed with PBEsol.

## Properties
Density: 6.32 g/cm3
Calculated volume: 12.430 Å³/atom
N(E_F): 2.6 states/eV/f.u.
Space-group type: P3m1
VASP energy: -0.46332 hartree per atom
E above lowest polymorph: 314 meV/atom
Formation energy: 0.209 eV per atom

Geometry as POSCAR:
```
MgCoNi
1.0
2.641 0.000 0.000
-1.321 2.287 0.000
0.000 0.000 6.173
Co Mg Ni
1 1 1
Cartesian
0.000 0.000 0.103
0.000 1.525 4.104
1.321 0.762 1.965
```

=====

8.
A plane-wave DFT calculation with SCAN was carried out for a crystal of MgCoNi relaxed with PBEsol.

## Properties
Density: 6.24 g/cm3
Calculated volume: 12.593 Å³/atom
N(E_F): 2.0 states/eV/f.u.
Space-group type: Amm2
VASP energy: -0.47486 hartree per atom
E above lowest polymorph: 0 meV/atom
Formation energy: -0.105 eV per atom

Geometry as POSCAR:
```
MgCoNi
1.0
-2.323 -2.401 3.348
4.673 -0.816 -0.684
1.701 5.464 5.099
Mg Co Ni
4 4 4
Cartesian
1.395 2.563 6.147
3.499 2.405 4.153
2.868 0.378 2.261
0.332 -0.850 2.962
3.596 0.925 6.499
2.731 -1.853 3.906
3.516 -1.118 0.025
2.395 -2.277 1.641
1.227 -0.705 0.346
-0.298 0.604 5.213
0.846 1.787 3.564
2.005 0.201 4.876
```